(1)
DFT (PBE) results for a relaxed structure of Nb3SnRu.

a = 4.9526 Å, b = 4.9526 Å, c = 4.9526 Å
α = 90.00°, β = 90.00°, γ = 90.00°
Fractional positions:
Nb 0.0000 0.0000 0.5000
Nb 0.0000 0.5000 0.0000
Nb 0.5000 0.0000 0.0000
Sn 0.0000 0.0000 0.0000
Ru 0.5000 0.5000 0.5000

Output
ΔH_f (0 K) in eV per atom: 2.061
Crystal system: cubic
DOS(E_F) in states/eV/f.u.: 7.13
Space-group type: Pm-3m, No. 221
VASP energy in eV per atom: -6.64

---

(2)
DFT (PBE) results for a relaxed structure of Nb3SnRu4.

a = 9.1058 Å, b = 6.1669 Å, c = 4.6341 Å
α = 90.00°, β = 90.00°, γ = 90.00°
Fractional positions:
Nb 0.0000 0.0000 0.0000
Nb 0.2500 0.0000 0.4545
Nb 0.2500 0.5000 0.4531
Nb 0.5000 0.0000 0.0000
Nb 0.7500 0.0000 0.5455
Nb 0.7500 0.5000 0.5469
Sn 0.0000 0.5000 0.0000
Sn 0.5000 0.5000 0.0000
Ru 0.0000 0.2445 0.5000
Ru 0.0000 0.7555 0.5000
Ru 0.2500 0.2500 0.9355
Ru 0.2500 0.7500 0.9355
Ru 0.5000 0.2445 0.5000
Ru 0.5000 0.7555 0.5000
Ru 0.7500 0.2500 0.0645
Ru 0.7500 0.7500 0.0645

Output
ΔH_f (0 K) in eV per atom: -0.219
Crystal system: orthorhombic
DOS(E_F) in states/eV/f.u.: 8.06
Space-group type: Pmma, No. 51
VASP energy in eV per atom: -9.13

---

(3)
DFT (PBE) results for a relaxed structure of NbVSnRu.

a = 4.5419 Å, b = 4.5419 Å, c = 4.5419 Å
α = 60.00°, β = 60.00°, γ = 60.00°
Fractional positions:
Nb 0.0000 0.0000 0.0000
V 0.7500 0.7500 0.7500
Sn 0.5000 0.5000 0.5000
Ru 0.2500 0.2500 0.2500

Output
ΔH_f (0 K) in eV per atom: -0.136
Crystal system: cubic
DOS(E_F) in states/eV/f.u.: 3.25
Space-group type: F-43m, No. 216
VASP energy in eV per atom: -8.25

---

(4)
DFT (PBE) results for a relaxed structure of Nb2V2SnRu5.

a = 9.3772 Å, b = 9.3772 Å, c = 3.6092 Å
α = 90.00°, β = 90.00°, γ = 90.00°
Fractional positions:
Nb 0.1766 0.3234 0.0000
Nb 0.3234 0.8234 0.0000
Nb 0.6766 0.1766 0.0000
Nb 0.8234 0.6766 0.0000
V 0.1230 0.6230 0.0000
V 0.3770 0.1230 0.0000
V 0.6230 0.8770 0.0000
V 0.8770 0.3770 0.0000
Sn 0.0000 0.0000 0.0000
Sn 0.5000 0.5000 0.0000
Ru 0.0000 0.5000 0.5000
Ru 0.0659 0.7892 0.5000
Ru 0.2108 0.0659 0.5000
Ru 0.2892 0.5659 0.5000
Ru 0.4341 0.2892 0.5000
Ru 0.5000 0.0000 0.5000
Ru 0.5659 0.7108 0.5000
Ru 0.7108 0.4341 0.5000
Ru 0.7892 0.9341 0.5000
Ru 0.9341 0.2108 0.5000

Output
ΔH_f (0 K) in eV per atom: -0.030
Crystal system: tetragonal
DOS(E_F) in states/eV/f.u.: 8.32
Space-group type: P4/mbm, No. 127
VASP energy in eV per atom: -8.91

---

(5)
DFT (PBE) results for a relaxed structure of YNb2SnRu.

a = 4.8932 Å, b = 4.8932 Å, c = 5.0426 Å
α = 90.00°, β = 90.00°, γ = 90.00°
Fractional positions:
Y 0.0000 0.0000 0.0000
Nb 0.0000 0.5000 0.5000
Nb 0.5000 0.0000 0.5000
Sn 0.5000 0.5000 0.0000
Ru 0.5000 0.5000 0.5000

Output
ΔH_f (0 K) in eV per atom: 0.504
Crystal system: tetragonal
DOS(E_F) in states/eV/f.u.: 8.46
Space-group type: P4/mmm, No. 123
VASP energy in eV per atom: -7.47

---

(6)
DFT (PBE) results for a relaxed structure of Sr2NbRu.

a = 5.3352 Å, b = 5.3352 Å, c = 5.3352 Å
α = 60.00°, β = 60.00°, γ = 60.00°
Fractional positions:
Sr 0.2500 0.2500 0.2500
Sr 0.7500 0.7500 0.7500
Nb 0.0000 0.0000 0.0000
Ru 0.5000 0.5000 0.5000

Output
ΔH_f (0 K) in eV per atom: 1.088
Crystal system: cubic
DOS(E_F) in states/eV/f.u.: 4.60
Space-group type: Fm-3m, No. 225
VASP energy in eV per atom: -4.59

---

(7)
DFT (PBE) results for a relaxed structure of Sr2NbRu.

a = 8.5010 Å, b = 8.5010 Å, c = 8.5010 Å
α = 94.40°, β = 94.40°, γ = 147.84°
Fractional positions:
Sr 0.3750 0.2088 0.3338
Sr 0.7912 0.1250 0.1662
Sr 0.8750 0.0412 0.6662
Sr 0.9588 0.6250 0.8338
Nb 0.2500 0.7500 0.5000
Nb 0.5000 0.5000 0.0000
Ru 0.0000 0.0000 0.0000
Ru 0.7500 0.2500 0.5000

Output
ΔH_f (0 K) in eV per atom: 0.726
Crystal system: tetragonal
DOS(E_F) in states/eV/f.u.: 4.72
Space-group type: I-42d, No. 122
VASP energy in eV per atom: -4.95

---

(8)
DFT (PBE) results for a relaxed structure of SrNb2Ru.

a = 9.5543 Å, b = 9.5543 Å, c = 9.5543 Å
α = 149.20°, β = 149.20°, γ = 44.11°
Fractional positions:
Sr 0.3750 0.6250 0.7500
Sr 0.6250 0.3750 0.2500
Nb 0.0000 0.0000 0.0000
Nb 0.0000 0.0000 0.5000
Nb 0.0000 0.5000 0.0000
Nb 0.5000 0.0000 0.5000
Ru 0.1250 0.8750 0.2500
Ru 0.8750 0.1250 0.7500

Output
ΔH_f (0 K) in eV per atom: 0.991
Crystal system: tetragonal
DOS(E_F) in states/eV/f.u.: 6.05
Space-group type: I4_1/amd, No. 141
VASP energy in eV per atom: -6.78

---

(9)
DFT (PBE) results for a relaxed structure of SrNb2Ru.

a = 4.7619 Å, b = 4.7619 Å, c = 4.7619 Å
α = 60.00°, β = 60.00°, γ = 60.00°
Fractional positions:
Sr 0.0000 0.0000 0.0000
Nb 0.2500 0.2500 0.2500
Nb 0.7500 0.7500 0.7500
Ru 0.5000 0.5000 0.5000

Output
ΔH_f (0 K) in eV per atom: 0.733
Crystal system: cubic
DOS(E_F) in states/eV/f.u.: 5.10
Space-group type: Fm-3m, No. 225
VASP energy in eV per atom: -7.04

---

(10)
DFT (PBE) results for a relaxed structure of SrNb2Ru2.

a = 6.3505 Å, b = 6.3505 Å, c = 6.3505 Å
α = 139.42°, β = 139.42°, γ = 58.73°
Fractional positions:
Sr 0.0000 0.0000 0.0000
Nb 0.2500 0.7500 0.5000
Nb 0.7500 0.2500 0.5000
Ru 0.3763 0.3763 0.0000
Ru 0.6237 0.6237 0.0000

Output
ΔH_f (0 K) in eV per atom: -0.039
Crystal system: tetragonal
DOS(E_F) in states/eV/f.u.: 5.08
Space-group type: I4/mmm, No. 139
VASP energy in eV per atom: -8.11

---

(11)
DFT (PBE) results for a relaxed structure of SrNb2Ru2.

a = 8.0175 Å, b = 8.0175 Å, c = 3.0068 Å
α = 90.00°, β = 90.00°, γ = 90.00°
Fractional positions:
Sr 0.0000 0.0000 0.0000
Sr 0.5000 0.5000 0.0000
Nb 0.1428 0.3572 0.5000
Nb 0.3572 0.8572 0.5000
Nb 0.6428 0.1428 0.5000
Nb 0.8572 0.6428 0.5000
Ru 0.1418 0.6418 0.0000
Ru 0.3582 0.1418 0.0000
Ru 0.6418 0.8582 0.0000
Ru 0.8582 0.3582 0.0000

Output
ΔH_f (0 K) in eV per atom: 0.157
Crystal system: tetragonal
DOS(E_F) in states/eV/f.u.: 5.04
Space-group type: P4/mbm, No. 127
VASP energy in eV per atom: -7.92

---

(12)
DFT (PBE) results for a relaxed structure of SrNbRu2.

a = 6.0911 Å, b = 6.0911 Å, c = 6.0911 Å
α = 105.46°, β = 105.46°, γ = 117.83°
Fractional positions:
Sr 0.0000 0.0000 0.0000
Sr 0.7500 0.2500 0.5000
Nb 0.2500 0.7500 0.5000
Nb 0.5000 0.5000 0.0000
Ru 0.1777 0.6250 0.0527
Ru 0.3750 0.4277 0.5527
Ru 0.5723 0.1250 0.9473
Ru 0.8750 0.8223 0.4473

Output
ΔH_f (0 K) in eV per atom: 0.608
Crystal system: tetragonal
DOS(E_F) in states/eV/f.u.: 4.89
Space-group type: I-42d, No. 122
VASP energy in eV per atom: -6.97

---

Copy entry 6 word for word.
DFT (PBE) results for a relaxed structure of Sr2NbRu.

a = 5.3352 Å, b = 5.3352 Å, c = 5.3352 Å
α = 60.00°, β = 60.00°, γ = 60.00°
Fractional positions:
Sr 0.2500 0.2500 0.2500
Sr 0.7500 0.7500 0.7500
Nb 0.0000 0.0000 0.0000
Ru 0.5000 0.5000 0.5000

Output
ΔH_f (0 K) in eV per atom: 1.088
Crystal system: cubic
DOS(E_F) in states/eV/f.u.: 4.60
Space-group type: Fm-3m, No. 225
VASP energy in eV per atom: -4.59

---

Q: Which value of ΔH_f (0 K) does entry 5 give?
A: 0.504 eV per atom